First-principles (PBE-GGA) data for a relaxed structure of Li2TaSb, as listed in Alexandria.

Cell lengths 4.0417, 4.0417, 4.2441 Å; angles 90.00, 90.00, 90.00 degrees
Atoms (fractional coordinates):
Li1 0.0000 0.5000 0.0000
Li2 0.5000 0.0000 0.0000
Ta1 0.0000 0.0000 0.5000
Sb1 0.5000 0.5000 0.5000

Properties
Magnetic moment ... 0.0 μB/f.u.
Crystal system ... tetragonal
Symmetry ... No. 123
Uncorrected formation energy ... 0.082 eV/atom